First-principles (GGA+U) data for a geometry-optimized V3SnO8 structure, as listed in the Alexandria database.

Summary:
**Crystal system**: monoclinic
**SG**: Cm (8)
**Uncorrected energy**: -7.343 eV per atom

```
12
Lattice="-3.211 5.644 0.978 -5.367 2.836 2.505 1.654 2.040 6.087" Properties=species:S:1:pos:R:3 pbc="T T T"
V -4.594 5.719 4.030
V -2.206 4.788 5.689
V -4.780 7.405 6.869
Sn -2.121 3.167 2.829
O -6.230 8.703 7.208
O -5.934 7.148 4.768
O -3.826 7.430 8.262
O -3.782 6.014 5.719
O -3.184 4.532 3.839
O -1.582 5.167 7.268
O -0.986 3.362 4.789
O -0.664 1.725 2.234
```